A plane-wave DFT calculation with GGA-PBEsol was carried out for Sc2Ge2Mo after structural relaxation.

Output
symmetry = P4/mbm
DFT formation energy = -0.67 eV per atom

POSCAR file:
```
Sc2Ge2Mo
1.0
-1.352 -0.838 3.439
-5.301 -3.108 -2.842
3.449 -5.826 -0.063
Sc Mo Ge
4 2 4
direct
0.500 0.175 0.675
0.500 0.675 0.825
0.500 0.825 0.325
0.500 0.325 0.175
0.000 0.000 0.000
0.000 0.500 0.500
0.000 0.368 0.868
0.000 0.868 0.632
0.000 0.632 0.132
0.000 0.132 0.368
```

***

A plane-wave DFT calculation with GGA-PBEsol was carried out for BeSeBr2O after structural relaxation.

Output
uncorrected energy = -2.62 eV per atom
symmetry = P4/mmm

POSCAR file:
```
BeSeBr2O
1.0
-2.878 0.650 2.936
0.438 -4.499 1.424
3.396 1.293 3.042
O Be Se Br
1 1 1 2
direct
0.000 0.000 0.000
0.500 0.500 0.500
0.500 0.000 0.000
0.000 0.000 0.500
0.000 0.500 0.000
```

***

A plane-wave DFT calculation with GGA-PBEsol was carried out for Co2BHRu after structural relaxation.

Output
uncorrected energy = -6.96 eV per atom
symmetry = P4/mmm

POSCAR file:
```
Co2BHRu
1.0
-0.232 2.673 -1.972
0.124 -1.968 -2.683
-3.805 -0.298 0.043
Ru B Co H
1 1 2 1
direct
0.000 0.000 0.500
0.500 0.500 0.500
0.000 0.500 0.000
0.500 0.000 0.000
0.000 0.000 0.000
```

***

A plane-wave DFT calculation with GGA-PBEsol was carried out for SrRuSe2 after structural relaxation.

Output
excess energy over the best structure of this formula in the dataset = 0 kJ/mol of formula units
symmetry = P4mm

POSCAR file:
```
SrRuSe2
1.0
3.697 0.000 0.000
0.000 3.697 0.000
0.000 0.000 6.295
Ru Se Sr
1 2 1
direct
0.500 0.500 0.856
0.000 0.000 0.935
0.500 0.500 0.252
0.000 0.000 0.457
```

***

A plane-wave DFT calculation with GGA-PBEsol was carried out for Mg2ZrCd after structural relaxation.

Output
symmetry = P4mm
DFT formation energy = -0.08 eV per atom

POSCAR file:
```
Mg2ZrCd
1.0
-2.511 1.348 1.332
-1.362 0.252 -2.824
-3.580 -7.695 1.039
Mg Zr Cd
2 1 1
direct
0.000 0.000 0.989
0.500 0.500 0.249
0.000 0.000 0.507
0.500 0.500 0.755
```

***

A plane-wave DFT calculation with GGA-PBEsol was carried out for ScTl3 after structural relaxation.

Output
symmetry = Imm2
DFT formation energy = -0.13 eV per atom

POSCAR file:
```
ScTl3
1.0
-1.537 1.082 2.940
-4.556 -2.252 -1.553
4.461 -3.935 1.710
Sc Tl
1 3
direct
0.000 0.002 0.000
0.500 0.526 0.000
0.261 0.914 0.522
0.739 0.392 0.478
```

***

A plane-wave DFT calculation with GGA-PBEsol was carried out for KLa2Re after structural relaxation.

Output
excess energy over the best structure of this formula in the dataset = 147 kJ/mol of formula units
symmetry = C2/m
DFT formation energy = 1.00 eV per atom

POSCAR file:
```
KLa2Re
1.0
-2.486 0.040 1.745
1.623 -5.977 -0.023
4.124 3.204 3.330
K La Re
1 2 1
direct
0.500 0.500 0.500
0.000 0.500 0.000
0.000 0.000 0.500
0.500 0.000 0.000
```

***

A plane-wave DFT calculation with GGA-PBEsol was carried out for KOsNO3 after structural relaxation.

Output
uncorrected energy = -7.16 eV per atom
symmetry = P1

POSCAR file:
```
KOsNO3
1.0
5.699 -0.001 0.006
0.000 5.692 0.011
2.832 2.761 6.416
K Os N O
2 2 2 6
direct
0.625 0.877 0.247
0.376 0.117 0.748
0.118 0.377 0.253
0.881 0.625 0.752
0.304 0.238 0.098
0.751 0.590 0.593
0.077 0.675 0.093
0.183 0.818 0.596
0.676 0.774 0.902
0.911 0.318 0.907
0.277 0.416 0.402
0.821 0.174 0.409
```

***

no.,D(E_F) (states/eV per cell),calculated volume (Å³/cell),calculated density (g cm⁻³)
1,6.4,174,6.3
2,2.4,93,4.7
3,5.9,42,9.1
4,5.0,86,6.7
5,2.5,85,5.0
6,2.8,98,11.1
7,5.4,101,8.3
8,0.0,208,4.7